# TbPrThCd

A relaxed TbPrThCd crystal (GGA-PBE, Alexandria).

Cell lengths 7.8466, 7.8466, 7.8466 Å; angles 90.00, 90.00, 90.00 degrees
Space group F-43m (No. 216)
Asymmetric unit:
Tb (0.0000, 0.0000, 0.0000) (multiplicity 4)
Pr (0.0000, 0.0000, 0.5000) (multiplicity 4)
Th (0.2500, 0.2500, 0.7500) (multiplicity 4)
Cd (0.2500, 0.2500, 0.2500) (multiplicity 4)

Output
* calculated formation energy: 84 meV per atom
* E_tot: -69.633 eV/cell
* ΔE to the lowest computed polymorph: 0.247 eV per atom